1.
Here is a relaxed structure of Hf3TaIn from the Alexandria database. Energies are from PBE-GGA.

It has space group Pm-3m (No. 221), with a = 5.1239 Å, b = 5.1239 Å, c = 5.1239 Å, α = 90.00°, β = 90.00° and γ = 90.00°. The inequivalent atoms are Hf at (0.0000, 0.0000, 0.5000), Ta at (0.5000, 0.5000, 0.5000) and In at (0.0000, 0.0000, 0.0000).

The density of states at the Fermi level is 11.470 states/eV per cell. The calculation puts the formation energy at 1.6102 eV/atom. The calculation puts the total moment at 1.4 μB per formula unit.

---

2.
Here is a relaxed structure of Tb12CeDy7 from the Alexandria database. Energies are from PBE-GGA.

It has space group R-3 (No. 148, hexagonal axes), with a = 15.0082 Å, b = 15.0082 Å, c = 9.9414 Å, α = 90.00°, β = 90.00° and γ = 120.00°. The inequivalent atoms are Tb at (0.0370, 0.7871, 0.0757), Tb at (0.0444, 0.8496, 0.7559), Ce at (0.0000, 0.0000, 0.5000), Dy at (0.0000, 0.0000, 0.0000) and Dy at (0.0697, 0.8249, 0.4296).

The density of states at the Fermi level is 116.757 states/eV per cell. The calculation puts the formation energy at 0.1753 eV/atom. The calculation puts the total moment at 0.6 μB per formula unit.

---

> What is the total moment in the second record?

0.6 μB per formula unit

---

> Among the records above, which one has the highest total moment?

Hf3TaIn

---

Please write out number 1 again, unchanged.
Here is a relaxed structure of Hf3TaIn from the Alexandria database. Energies are from PBE-GGA.

It has space group Pm-3m (No. 221), with a = 5.1239 Å, b = 5.1239 Å, c = 5.1239 Å, α = 90.00°, β = 90.00° and γ = 90.00°. The inequivalent atoms are Hf at (0.0000, 0.0000, 0.5000), Ta at (0.5000, 0.5000, 0.5000) and In at (0.0000, 0.0000, 0.0000).

The density of states at the Fermi level is 11.470 states/eV per cell. The calculation puts the formation energy at 1.6102 eV/atom. The calculation puts the total moment at 1.4 μB per formula unit.